This record from Alexandria describes crystalline YThHgRh at its relaxed geometry. The functional is PBE.

Summary:
Its formation energy from the elements is -0.5779 eV per atom. The value obtained for the energy above the most stable polymorph in this dataset is 0.0 kJ per mole of atoms. The size of the total moment is 0.000 μB/f.u.

Unit cell a=4.0602 b=4.0602 c=23.0530 alpha=90.00 beta=90.00 gamma=120.00
Positions (direct):
1 Y 0.0000 0.0000 0.0000
2 Y 0.3333 0.6667 0.6667
3 Y 0.6667 0.3333 0.3333
4 Th 0.0000 0.0000 0.8033
5 Th 0.3333 0.6667 0.4700
6 Th 0.6667 0.3333 0.1366
7 Hg 0.0000 0.0000 0.2387
8 Hg 0.3333 0.6667 0.9054
9 Hg 0.6667 0.3333 0.5721
10 Rh 0.0000 0.0000 0.4043
11 Rh 0.3333 0.6667 0.0710
12 Rh 0.6667 0.3333 0.7376

---

This record from Alexandria describes crystalline NaCd2Cl4 at its relaxed geometry. The functional is PBE.

Summary:
Its uncorrected formation energy is -1.0252 eV per atom. The size of the total moment is 0.000 μB/f.u.

Unit cell a=6.1681 b=6.1681 c=6.3305 alpha=90.00 beta=90.00 gamma=90.00
Positions (direct):
1 Na 0.0000 0.0000 0.0000
2 Cd 0.0000 0.5000 0.5000
3 Cd 0.5000 0.0000 0.5000
4 Cl 0.2470 0.2470 0.2667
5 Cl 0.2470 0.7530 0.7333
6 Cl 0.7530 0.2470 0.7333
7 Cl 0.7530 0.7530 0.2667

---

This record from Alexandria describes crystalline PaNiPt4 at its relaxed geometry. The functional is PBE.

Summary:
Its formation energy from the elements is -0.6388 eV per atom. The value obtained for the energy above the most stable polymorph in this dataset is 0.0 kJ per mole of atoms. The size of the total moment is 0.000 μB/f.u.

Unit cell a=5.0416 b=7.5018 c=5.6132 alpha=90.00 beta=105.13 gamma=90.00
Positions (direct):
1 Pa 0.0000 0.0000 0.0000
2 Pa 0.5000 0.5000 0.0000
3 Ni 0.0000 0.0000 0.5000
4 Ni 0.5000 0.5000 0.5000
5 Pt 0.0464 0.3175 0.2700
6 Pt 0.0464 0.6825 0.2700
7 Pt 0.4536 0.1825 0.7300
8 Pt 0.4536 0.8175 0.7300
9 Pt 0.5464 0.1825 0.2700
10 Pt 0.5464 0.8175 0.2700
11 Pt 0.9536 0.3175 0.7300
12 Pt 0.9536 0.6825 0.7300